The following is a PBE-GGA calculation of a relaxed Ti2Zn2Co crystal, from Alexandria via LeMat-Bulk.

Computed properties:
The excess energy over the best structure of this formula in the dataset comes out at 0.2098 eV/atom. The calculation puts the formation energy at -0.7 kJ/mol of atoms. For the total energy, the calculation gives -51.0 eV/cell. The density of states at the Fermi level is 8.93 states/eV per cell.

a b c (Å): 6.500 6.500 3.525
angles (deg): 90.00 90.00 90.00
Positions (direct):
Ti1 0.171 0.329 0.000
Ti2 0.329 0.829 0.000
Ti3 0.671 0.171 0.000
Ti4 0.829 0.671 0.000
Zn1 0.133 0.633 0.500
Zn2 0.367 0.133 0.500
Zn3 0.633 0.867 0.500
Zn4 0.867 0.367 0.500
Co1 0.000 0.000 0.500
Co2 0.500 0.500 0.500

---

The following is a PBE-GGA calculation of a relaxed V3IrPt crystal, from Alexandria via LeMat-Bulk.

Computed properties:
The excess energy over the best structure of this formula in the dataset comes out at 1.0936 eV/atom. The calculation puts the formation energy at 87.1 kJ/mol of atoms. For the total energy, the calculation gives -37.7 eV/cell. The density of states at the Fermi level is 7.50 states/eV per cell.

a b c (Å): 4.532 4.532 4.532
angles (deg): 90.00 90.00 90.00
Positions (direct):
V1 0.000 0.000 0.500
V2 0.000 0.500 0.000
V3 0.500 0.000 0.000
Ir1 0.000 0.000 0.000
Pt1 0.500 0.500 0.500

---

The following is a PBE-GGA calculation of a relaxed GaRuNO2 crystal, from Alexandria via LeMat-Bulk.

Computed properties:
For the total energy, the calculation gives -28.2 eV/cell. The density of states at the Fermi level is 3.79 states/eV per cell.

a b c (Å): 3.792 3.792 4.030
angles (deg): 90.00 90.00 90.00
Positions (direct):
Ga1 0.000 0.000 0.000
Ru1 0.500 0.500 0.500
N1 0.000 0.000 0.500
O1 0.000 0.500 0.000
O2 0.500 0.000 0.000

---

The following is a PBE-GGA calculation of a relaxed TcAgBr2 crystal, from Alexandria via LeMat-Bulk.

Computed properties:
The excess energy over the best structure of this formula in the dataset comes out at 0.2486 eV/atom. For the total energy, the calculation gives -29.5 eV/cell. The density of states at the Fermi level is 1.66 states/eV per cell.

a b c (Å): 14.754 3.795 4.031
angles (deg): 90.00 100.41 90.00
Positions (direct):
Tc1 0.000 0.000 0.000
Tc2 0.500 0.500 0.000
Ag1 0.129 0.500 0.284
Ag2 0.629 0.000 0.284
Br1 0.174 0.000 0.783
Br2 0.427 0.000 0.464
Br3 0.674 0.500 0.783
Br4 0.927 0.500 0.464

---

The following is a PBE-GGA calculation of a relaxed Li4PdPb3 crystal, from Alexandria via LeMat-Bulk.

Computed properties:
The excess energy over the best structure of this formula in the dataset comes out at 0.0000 eV/atom. The calculation puts the formation energy at -29.7 kJ/mol of atoms. For the total energy, the calculation gives -26.4 eV/cell. The density of states at the Fermi level is 3.14 states/eV per cell.

a b c (Å): 3.450 3.450 13.354
angles (deg): 90.00 90.00 90.00
Positions (direct):
Li1 0.000 0.000 0.094
Li2 0.000 0.000 0.357
Li3 0.000 0.000 0.643
Li4 0.000 0.000 0.906
Pd1 0.500 0.500 0.000
Pb1 0.500 0.500 0.219
Pb2 0.500 0.500 0.500
Pb3 0.500 0.500 0.781

---

The following is a PBE-GGA calculation of a relaxed Li5Ce3Br12 crystal, from Alexandria via LeMat-Bulk.

Computed properties:
For the total energy, the calculation gives -316.7 eV/cell. The density of states at the Fermi level is 101.00 states/eV per cell.

a b c (Å): 14.294 14.294 14.294
angles (deg): 109.47 109.47 109.47
Positions (direct):
Li1 0.000 0.000 0.000
Li2 0.000 0.000 0.500
Li3 0.000 0.500 0.000
Li4 0.000 0.500 0.500
Li5 0.125 0.750 0.875
Li6 0.125 0.875 0.250
Li7 0.250 0.125 0.875
Li8 0.250 0.625 0.375
Li9 0.375 0.250 0.625
Li10 0.375 0.625 0.750
Li11 0.500 0.000 0.000
Li12 0.500 0.000 0.500
Li13 0.500 0.500 0.000
Li14 0.500 0.500 0.500
Li15 0.625 0.375 0.250
Li16 0.625 0.750 0.375
Li17 0.750 0.375 0.625
Li18 0.750 0.875 0.125
Li19 0.875 0.125 0.750
Li20 0.875 0.250 0.125
Ce1 0.125 0.250 0.375
Ce2 0.125 0.375 0.750
Ce3 0.250 0.375 0.125
Ce4 0.250 0.875 0.625
Ce5 0.375 0.125 0.250
Ce6 0.375 0.750 0.125
Ce7 0.625 0.250 0.875
Ce8 0.625 0.875 0.750
Ce9 0.750 0.125 0.375
Ce10 0.750 0.625 0.875
Ce11 0.875 0.625 0.250
Ce12 0.875 0.750 0.625
Br1 0.032 0.213 0.123
Br2 0.032 0.319 0.909
Br3 0.090 0.713 0.681
Br4 0.090 0.877 0.409
Br5 0.091 0.623 0.410
Br6 0.091 0.968 0.681
Br7 0.123 0.032 0.213
Br8 0.123 0.591 0.910
Br9 0.181 0.213 0.590
Br10 0.181 0.468 0.591
Br11 0.213 0.123 0.032
Br12 0.213 0.590 0.181
Br13 0.287 0.319 0.910
Br14 0.287 0.468 0.377
Br15 0.319 0.909 0.032
Br16 0.319 0.910 0.287
Br17 0.377 0.287 0.468
Br18 0.377 0.590 0.909
Br19 0.409 0.090 0.877
Br20 0.409 0.819 0.532
Br21 0.410 0.091 0.623
Br22 0.410 0.819 0.787
Br23 0.468 0.377 0.287
Br24 0.468 0.591 0.181
Br25 0.532 0.409 0.819
Br26 0.532 0.623 0.713
Br27 0.590 0.181 0.213
Br28 0.590 0.909 0.377
Br29 0.591 0.181 0.468
Br30 0.591 0.910 0.123
Br31 0.623 0.410 0.091
Br32 0.623 0.713 0.532
Br33 0.681 0.090 0.713
Br34 0.681 0.091 0.968
Br35 0.713 0.532 0.623
Br36 0.713 0.681 0.090
Br37 0.787 0.410 0.819
Br38 0.787 0.877 0.968
Br39 0.819 0.532 0.409
Br40 0.819 0.787 0.410
Br41 0.877 0.409 0.090
Br42 0.877 0.968 0.787
Br43 0.909 0.032 0.319
Br44 0.909 0.377 0.590
Br45 0.910 0.123 0.591
Br46 0.910 0.287 0.319
Br47 0.968 0.681 0.091
Br48 0.968 0.787 0.877

---

The following is a PBE-GGA calculation of a relaxed SmEr2Br crystal, from Alexandria via LeMat-Bulk.

Computed properties:
For the total energy, the calculation gives -49.0 eV/cell. The density of states at the Fermi level is 22.39 states/eV per cell.

a b c (Å): 3.478 3.478 34.304
angles (deg): 90.00 90.00 120.00
Positions (direct):
Sm1 0.000 0.000 0.000
Sm2 0.333 0.667 0.667
Sm3 0.667 0.333 0.333
Er1 0.000 0.000 0.098
Er2 0.000 0.000 0.902
Er3 0.333 0.667 0.569
Er4 0.333 0.667 0.765
Er5 0.667 0.333 0.235
Er6 0.667 0.333 0.431
Br1 0.000 0.000 0.500
Br2 0.333 0.667 0.167
Br3 0.667 0.333 0.833

---

The following is a PBE-GGA calculation of a relaxed AcPr2Nd3Se6 crystal, from Alexandria via LeMat-Bulk.

Computed properties:
For the total energy, the calculation gives -71.0 eV/cell. The density of states at the Fermi level is 5.93 states/eV per cell.

a b c (Å): 7.420 7.420 7.432
angles (deg): 99.57 99.57 120.25
Positions (direct):
Ac1 0.000 0.000 0.000
Pr1 0.332 0.668 0.000
Pr2 0.668 0.332 0.000
Nd1 0.165 0.835 0.500
Nd2 0.500 0.500 0.500
Nd3 0.835 0.165 0.500
Se1 0.086 0.425 0.258
Se2 0.255 0.255 0.745
Se3 0.425 0.086 0.258
Se4 0.575 0.914 0.742
Se5 0.745 0.745 0.255
Se6 0.914 0.575 0.742

---

The following is a PBE-GGA calculation of a relaxed Er2Be4SiPt3 crystal, from Alexandria via LeMat-Bulk.

Computed properties:
For the total energy, the calculation gives -55.5 eV/cell. The density of states at the Fermi level is 4.22 states/eV per cell.

a b c (Å): 3.827 3.827 10.186
angles (deg): 90.00 90.00 90.00
Positions (direct):
Er1 0.000 0.500 0.249
Er2 0.500 0.000 0.751
Be1 0.000 0.000 0.500
Be2 0.000 0.500 0.863
Be3 0.500 0.000 0.137
Be4 0.500 0.500 0.500
Si1 0.500 0.500 0.000
Pt1 0.000 0.000 0.000
Pt2 0.000 0.500 0.629
Pt3 0.500 0.000 0.371

---

The following is a PBE-GGA calculation of a relaxed TeMoBr2 crystal, from Alexandria via LeMat-Bulk.

Computed properties:
The excess energy over the best structure of this formula in the dataset comes out at 1.1308 eV/atom. For the total energy, the calculation gives -27.3 eV/cell. The density of states at the Fermi level is 8.37 states/eV per cell.

a b c (Å): 6.523 9.037 3.342
angles (deg): 90.00 90.00 90.00
Positions (direct):
Te1 0.000 0.000 0.000
Te2 0.500 0.500 0.000
Mo1 0.000 0.500 0.000
Mo2 0.500 0.000 0.000
Br1 0.250 0.250 0.500
Br2 0.250 0.750 0.500
Br3 0.750 0.250 0.500
Br4 0.750 0.750 0.500

---

The following is a PBE-GGA calculation of a relaxed LiCuCl5 crystal, from Alexandria via LeMat-Bulk.

Computed properties:
For the total energy, the calculation gives -39.6 eV/cell. The density of states at the Fermi level is 2.31 states/eV per cell.

a b c (Å): 6.989 6.989 8.472
angles (deg): 109.69 109.69 96.21
Positions (direct):
Li1 0.183 0.817 0.750
Li2 0.817 0.183 0.250
Cu1 0.500 0.500 0.000
Cu2 0.500 0.500 0.500
Cl1 0.050 0.860 0.456
Cl2 0.140 0.950 0.044
Cl3 0.170 0.492 0.339
Cl4 0.416 0.584 0.750
Cl5 0.492 0.170 0.839
Cl6 0.508 0.830 0.161
Cl7 0.584 0.416 0.250
Cl8 0.830 0.508 0.661
Cl9 0.860 0.050 0.956
Cl10 0.950 0.140 0.544

---

The following is a PBE-GGA calculation of a relaxed Er2TmHg crystal, from Alexandria via LeMat-Bulk.

Computed properties:
The excess energy over the best structure of this formula in the dataset comes out at 0.0774 eV/atom. The calculation puts the formation energy at -14.0 kJ/mol of atoms. For the total energy, the calculation gives -57.9 eV/cell. The density of states at the Fermi level is 17.64 states/eV per cell.

a b c (Å): 4.647 11.786 8.423
angles (deg): 90.00 90.00 90.00
Positions (direct):
Er1 0.000 0.139 0.048
Er2 0.000 0.139 0.452
Er3 0.000 0.861 0.548
Er4 0.000 0.861 0.952
Er5 0.500 0.361 0.548
Er6 0.500 0.361 0.952
Er7 0.500 0.639 0.048
Er8 0.500 0.639 0.452
Tm1 0.000 0.446 0.250
Tm2 0.000 0.554 0.750
Tm3 0.500 0.054 0.750
Tm4 0.500 0.946 0.250
Hg1 0.000 0.271 0.750
Hg2 0.000 0.729 0.250
Hg3 0.500 0.229 0.250
Hg4 0.500 0.771 0.750

---

The following is a PBE-GGA calculation of a relaxed Li2InSi crystal, from Alexandria via LeMat-Bulk.

Computed properties:
For the total energy, the calculation gives -47.1 eV/cell. The density of states at the Fermi level is 5.32 states/eV per cell.

a b c (Å): 4.053 4.053 18.857
angles (deg): 90.00 90.00 90.00
Positions (direct):
Li1 0.213 0.250 0.125
Li2 0.250 0.713 0.375
Li3 0.250 0.787 0.875
Li4 0.287 0.250 0.625
Li5 0.713 0.750 0.625
Li6 0.750 0.213 0.875
Li7 0.750 0.287 0.375
Li8 0.787 0.750 0.125
In1 0.000 0.000 0.500
In2 0.000 0.500 0.750
In3 0.500 0.000 0.250
In4 0.500 0.500 0.000
Si1 0.000 0.000 0.000
Si2 0.000 0.500 0.250
Si3 0.500 0.000 0.750
Si4 0.500 0.500 0.500

---

The following is a PBE-GGA calculation of a relaxed LiCu9Sb2 crystal, from Alexandria via LeMat-Bulk.

Computed properties:
For the total energy, the calculation gives -46.5 eV/cell. The density of states at the Fermi level is 3.51 states/eV per cell.

a b c (Å): 8.509 8.509 8.509
angles (deg): 34.89 34.89 34.89
Positions (direct):
Li1 0.000 0.000 0.000
Cu1 0.080 0.585 0.585
Cu2 0.334 0.334 0.334
Cu3 0.415 0.415 0.920
Cu4 0.415 0.920 0.415
Cu5 0.500 0.500 0.500
Cu6 0.585 0.080 0.585
Cu7 0.585 0.585 0.080
Cu8 0.666 0.666 0.666
Cu9 0.920 0.415 0.415
Sb1 0.131 0.131 0.131
Sb2 0.869 0.869 0.869

---

The following is a PBE-GGA calculation of a relaxed Sc2TcF crystal, from Alexandria via LeMat-Bulk.

Computed properties:
The excess energy over the best structure of this formula in the dataset comes out at 0.6273 eV/atom. For the total energy, the calculation gives -108.8 eV/cell. The density of states at the Fermi level is 10.53 states/eV per cell.

a b c (Å): 6.398 6.398 6.398
angles (deg): 90.00 90.00 90.00
Positions (direct):
Sc1 0.250 0.250 0.250
Sc2 0.250 0.250 0.750
Sc3 0.250 0.750 0.250
Sc4 0.250 0.750 0.750
Sc5 0.750 0.250 0.250
Sc6 0.750 0.250 0.750
Sc7 0.750 0.750 0.250
Sc8 0.750 0.750 0.750
Tc1 0.000 0.000 0.000
Tc2 0.000 0.500 0.500
Tc3 0.500 0.000 0.500
Tc4 0.500 0.500 0.000
F1 0.000 0.000 0.500
F2 0.000 0.500 0.000
F3 0.500 0.000 0.000
F4 0.500 0.500 0.500

---

The following is a PBE-GGA calculation of a relaxed BaCr2Ni crystal, from Alexandria via LeMat-Bulk.

Computed properties:
The excess energy over the best structure of this formula in the dataset comes out at 0.1405 eV/atom. The calculation puts the formation energy at 57.3 kJ/mol of atoms. For the total energy, the calculation gives -24.6 eV/cell. The density of states at the Fermi level is 3.84 states/eV per cell.

a b c (Å): 3.182 3.182 7.615
angles (deg): 90.00 90.00 90.00
Positions (direct):
Ba1 0.000 0.000 0.000
Cr1 0.000 0.000 0.530
Cr2 0.500 0.500 0.364
Ni1 0.500 0.500 0.694

---

The following is a PBE-GGA calculation of a relaxed Th6IrS5 crystal, from Alexandria via LeMat-Bulk.

Computed properties:
For the total energy, the calculation gives -94.2 eV/cell. The density of states at the Fermi level is 9.24 states/eV per cell.

a b c (Å): 7.074 7.074 7.071
angles (deg): 99.65 99.65 119.98
Positions (direct):
Th1 0.084 0.415 0.748
Th2 0.249 0.249 0.249
Th3 0.415 0.084 0.748
Th4 0.585 0.916 0.252
Th5 0.751 0.751 0.751
Th6 0.916 0.585 0.252
Ir1 0.000 0.000 0.500
S1 0.167 0.833 0.000
S2 0.333 0.667 0.500
S3 0.500 0.500 0.000
S4 0.667 0.333 0.500
S5 0.833 0.167 0.000

---

The following is a PBE-GGA calculation of a relaxed Cu2Pt crystal, from Alexandria via LeMat-Bulk.

Computed properties:
The excess energy over the best structure of this formula in the dataset comes out at 0.7184 eV/atom. The calculation puts the formation energy at 55.3 kJ/mol of atoms. For the total energy, the calculation gives -50.1 eV/cell. The density of states at the Fermi level is 12.81 states/eV per cell.

a b c (Å): 5.892 5.892 5.892
angles (deg): 90.00 90.00 90.00
Positions (direct):
Cu1 0.120 0.120 0.120
Cu2 0.120 0.380 0.620
Cu3 0.380 0.620 0.120
Cu4 0.380 0.880 0.620
Cu5 0.620 0.120 0.380
Cu6 0.620 0.380 0.880
Cu7 0.880 0.620 0.380
Cu8 0.880 0.880 0.880
Pt1 0.000 0.000 0.500
Pt2 0.000 0.500 0.000
Pt3 0.500 0.000 0.000
Pt4 0.500 0.500 0.500

---

The following is a PBE-GGA calculation of a relaxed Mg2RuAu crystal, from Alexandria via LeMat-Bulk.

Computed properties:
The calculation puts the formation energy at 17.9 kJ/mol of atoms. For the total energy, the calculation gives -60.0 eV/cell. The density of states at the Fermi level is 14.89 states/eV per cell.

a b c (Å): 7.153 7.153 5.687
angles (deg): 90.00 90.00 90.00
Positions (direct):
Mg1 0.249 0.250 0.125
Mg2 0.250 0.749 0.375
Mg3 0.250 0.751 0.875
Mg4 0.251 0.250 0.625
Mg5 0.749 0.750 0.625
Mg6 0.750 0.249 0.875
Mg7 0.750 0.251 0.375
Mg8 0.751 0.750 0.125
Ru1 0.000 0.000 0.500
Ru2 0.000 0.500 0.750
Ru3 0.500 0.000 0.250
Ru4 0.500 0.500 0.000
Au1 0.000 0.000 0.000
Au2 0.000 0.500 0.250
Au3 0.500 0.000 0.750
Au4 0.500 0.500 0.500

---

The following is a PBE-GGA calculation of a relaxed GeAs2O6 crystal, from Alexandria via LeMat-Bulk.

Computed properties:
For the total energy, the calculation gives -53.4 eV/cell. The density of states at the Fermi level is 0.00 states/eV per cell.

a b c (Å): 5.511 5.511 5.511
angles (deg): 56.01 56.01 56.01
Positions (direct):
Ge1 0.000 0.000 0.000
As1 0.498 0.498 0.498
As2 0.796 0.796 0.796
O1 0.013 0.778 0.404
O2 0.186 0.649 0.841
O3 0.404 0.013 0.778
O4 0.649 0.841 0.186
O5 0.778 0.404 0.013
O6 0.841 0.186 0.649

---

The following is a PBE-GGA calculation of a relaxed Na8In crystal, from Alexandria via LeMat-Bulk.

Computed properties:
The calculation puts the formation energy at -1.6 kJ/mol of atoms. For the total energy, the calculation gives -13.4 eV/cell. The density of states at the Fermi level is 4.34 states/eV per cell.

a b c (Å): 8.378 8.378 8.378
angles (deg): 94.51 94.51 147.41
Positions (direct):
Na1 0.000 0.326 0.326
Na2 0.000 0.674 0.674
Na3 0.326 0.000 0.326
Na4 0.344 0.344 0.688
Na5 0.344 0.656 0.000
Na6 0.656 0.344 0.000
Na7 0.656 0.656 0.312
Na8 0.674 0.000 0.674
In1 0.000 0.000 0.000